Record 1
24
Lattice="8.7305 -2.5098 0.0000 8.7305 2.5098 0.0000 -0.0661 0.0000 5.3206" Properties=species:S:1:pos:R:3 comment="Mg3Co2O7 PBE+U relaxed" m_tot_mub_per_cell=8.0 crystal_system=monoclinic final_energy_ev_per_atom=-5.78 pbc="T T T"
Mg 5.4367 1.2909 3.4862
Mg 8.6974 1.3403 2.6603
Mg 12.1462 1.3123 3.4852
Mg 5.4697 -1.2909 0.8260
Mg 8.7305 -1.3403 0.0000
Mg 12.1792 -1.3123 0.8249
Co 7.0118 1.2457 0.4116
Co 10.5977 1.2397 0.4111
Co 6.9788 -1.2457 3.0719
Co 10.5647 -1.2397 3.0713
O 1.4221 0.2650 1.2164
O 3.6381 0.6846 2.7998
O 1.3890 -0.2650 3.8767
O 6.4401 0.2728 1.9888
O 3.6712 -0.6846 0.1395
O 8.7555 0.5804 0.7016
O 6.4071 -0.2728 4.6491
O 11.0688 0.2351 2.0692
O 8.7225 -0.5804 3.3619
O 13.9629 0.6712 2.8210
O 11.0357 -0.2351 4.7295
O 16.2235 0.2873 1.4453
O 13.9959 -0.6712 0.1607
O 16.1904 -0.2873 4.1056

***

Record 2
16
Lattice="3.0279 -6.0469 0.0000 3.0279 6.0469 0.0000 -3.0169 0.0000 4.2643" Properties=species:S:1:pos:R:3 comment="MgCoO2 PBE+U relaxed" m_tot_mub_per_cell=11.9 crystal_system=monoclinic final_energy_ev_per_atom=-6.01 pbc="T T T"
Mg 0.7652 5.3155 3.1982
Mg 0.7652 2.2420 3.1982
Mg 2.2737 -2.2420 1.0661
Mg 2.2737 -5.3155 1.0661
Co 2.2737 3.7519 1.0661
Co 2.2737 0.7773 1.0661
Co 0.7652 -0.7773 3.1982
Co 0.7652 -3.7519 3.1982
O 0.7273 2.2685 1.0889
O -0.7540 0.7567 3.1842
O 0.7545 -0.7567 1.0520
O -0.7811 -2.2685 3.2211
O 3.8200 2.2685 1.0432
O 2.2843 0.7567 3.2123
O 3.7928 -0.7567 1.0801
O 2.3115 -2.2685 3.1754

***

Record 3
16
Lattice="3.2285 0.0000 0.0000 0.0000 11.3231 0.0000 0.0000 0.0000 4.8743" Properties=species:S:1:pos:R:3 comment="MgCo2O5 PBE+U relaxed" m_tot_mub_per_cell=12.0 crystal_system=orthorhombic final_energy_ev_per_atom=-5.63 pbc="T T T"
Mg 0.8071 2.8308 0.6012
Mg 2.4214 8.4923 4.2731
Co 0.8071 6.7914 2.0200
Co 0.8071 10.1932 2.0200
Co 2.4214 1.1299 2.8543
Co 2.4214 4.5317 2.8543
O 0.8071 0.7621 1.8447
O 0.8071 4.8994 1.8447
O 0.8071 7.2689 0.3969
O 0.8071 8.4923 2.8194
O 0.8071 9.7157 0.3969
O 2.4214 1.6074 4.4774
O 2.4214 2.8308 2.0549
O 2.4214 4.0542 4.4774
O 2.4214 6.4237 3.0296
O 2.4214 10.5610 3.0296

***

Record 4
8
Lattice="-2.7090 2.7090 4.9489 2.7090 -2.7090 4.9489 2.7090 2.7090 -4.9489" Properties=species:S:1:pos:R:3 comment="MgCo2O PBE+U relaxed" m_tot_mub_per_cell=7.8 crystal_system=tetragonal final_energy_ev_per_atom=-4.18 pbc="T T T"
Mg 2.7090 1.3545 1.2372
Mg 0.0000 1.3545 3.7117
Co 0.0000 0.0000 0.0000
Co 1.3545 1.3545 -2.4745
Co 1.3545 -1.3545 2.4745
Co 0.0000 2.7090 0.0000
O 2.7090 -1.3545 3.7117
O 0.0000 4.0635 1.2372